# CeCdSi2Pd5, relaxed, DFT PBE-GGA
# Total energy: -5.44 eV/atom
# Volume: 17.46 A^3/atom
# N(E_F): 6.5 states/eV per cell
# Energy relative to the elements, uncorrected: -57 kJ/mol of atoms
data_CeCdSi2Pd5
_chemical_formula_sum 'Ce1 Cd1 Si2 Pd5'
_symmetry_space_group_name_H-M 'P 4/m m m'
_symmetry_Int_Tables_number 123
_symmetry_space_group_name_Hall '-P 4 2'
_cell_length_a 4.239
_cell_length_b 4.239
_cell_length_c 8.745
_cell_angle_alpha 90.00
_cell_angle_beta 90.00
_cell_angle_gamma 90.00
loop_
_atom_site_label
_atom_site_type_symbol
_atom_site_fract_x
_atom_site_fract_y
_atom_site_fract_z
_atom_site_occupancy
Ce1 Ce 0.000 0.000 0.000 1
Cd1 Cd 0.000 0.000 0.500 1
Si1 Si 0.500 0.500 0.370 1
Pd1 Pd 0.000 0.500 0.240 1
Pd2 Pd 0.500 0.500 0.000 1

***

# Ce2CdSi3Pd4, relaxed, DFT PBE-GGA
# Total energy: -5.72 eV/atom
# Volume: 18.89 A^3/atom
# N(E_F): 11.7 states/eV per cell
# Energy relative to the elements, uncorrected: -71 kJ/mol of atoms
data_Ce2CdSi3Pd4
_chemical_formula_sum 'Ce2 Cd1 Si3 Pd4'
_symmetry_space_group_name_H-M 'P -4 m 2'
_symmetry_Int_Tables_number 115
_symmetry_space_group_name_Hall 'P -4 -2'
_cell_length_a 4.254
_cell_length_b 4.254
_cell_length_c 10.438
_cell_angle_alpha 90.00
_cell_angle_beta 90.00
_cell_angle_gamma 90.00
loop_
_atom_site_label
_atom_site_type_symbol
_atom_site_fract_x
_atom_site_fract_y
_atom_site_fract_z
_atom_site_occupancy
Ce1 Ce 0.000 0.500 0.243 1
Cd1 Cd 0.000 0.000 0.500 1
Si1 Si 0.000 0.500 0.878 1
Si2 Si 0.500 0.500 0.500 1
Pd1 Pd 0.000 0.000 0.000 1
Pd2 Pd 0.000 0.500 0.651 1
Pd3 Pd 0.500 0.500 0.000 1

***

# Ce2CdSn4Pd3, relaxed, DFT PBE-GGA
# Total energy: -5.05 eV/atom
# Volume: 23.32 A^3/atom
# N(E_F): 16.8 states/eV per cell
# ΔE_f: -613.1 meV per atom
data_Ce2CdSn4Pd3
_chemical_formula_sum 'Ce2 Cd1 Sn4 Pd3'
_symmetry_space_group_name_H-M 'P -4 m 2'
_symmetry_Int_Tables_number 115
_symmetry_space_group_name_Hall 'P -4 -2'
_cell_length_a 4.501
_cell_length_b 4.501
_cell_length_c 11.512
_cell_angle_alpha 90.00
_cell_angle_beta 90.00
_cell_angle_gamma 90.00
loop_
_atom_site_label
_atom_site_type_symbol
_atom_site_fract_x
_atom_site_fract_y
_atom_site_fract_z
_atom_site_occupancy
Ce1 Ce 0.000 0.500 0.247 1
Cd1 Cd 0.000 0.000 0.500 1
Sn1 Sn 0.000 0.000 0.000 1
Sn2 Sn 0.000 0.500 0.645 1
Sn3 Sn 0.500 0.500 0.000 1
Pd1 Pd 0.000 0.500 0.870 1
Pd2 Pd 0.500 0.500 0.500 1

***

# Sr2CeCdPd6, relaxed, DFT PBE-GGA
# Total energy: -4.30 eV/atom
# Volume: 26.19 A^3/atom
# N(E_F): 8.5 states/eV per cell
# ΔE_f: -159.7 meV per atom
data_Sr2CeCdPd6
_chemical_formula_sum 'Sr8 Ce4 Cd4 Pd24'
_symmetry_space_group_name_H-M 'F m -3 m'
_symmetry_Int_Tables_number 225
_symmetry_space_group_name_Hall '-F 4 2 3'
_cell_length_a 10.157
_cell_length_b 10.157
_cell_length_c 10.157
_cell_angle_alpha 90.00
_cell_angle_beta 90.00
_cell_angle_gamma 90.00
loop_
_atom_site_label
_atom_site_type_symbol
_atom_site_fract_x
_atom_site_fract_y
_atom_site_fract_z
_atom_site_occupancy
Sr1 Sr 0.250 0.250 0.250 1
Ce1 Ce 0.000 0.000 0.000 1
Cd1 Cd 0.000 0.000 0.500 1
Pd1 Pd 0.000 0.000 0.246 1